# 1
# NdDy2HfP4, optimized geometry, DFT GGA-PBE
# Uncorrected energy: -7.1815 eV/atom
# Space group: P2/m, No. 10
# Mass density: 7.29 Mg/m³
# ΔH_f (0 K): -1.486 eV/atom
data_NdDy2HfP4
_space_group_name_H-M_alt 'P 1'
_space_group_IT_number 1
_space_group_name_Hall 'P 1'
_cell_length_a 3.956
_cell_length_b 6.870
_cell_length_c 6.849
_cell_angle_alpha 109.21
_cell_angle_beta 90.00
_cell_angle_gamma 90.00
loop_
_atom_site_label
_atom_site_fract_x
_atom_site_fract_y
_atom_site_fract_z
Nd1 0.500 0.500 0.000
Dy1 0.500 0.000 0.500
Dy2 0.000 0.500 0.500
Hf1 0.000 0.000 0.000
P1 0.500 0.232 0.239
P2 0.500 0.768 0.761
P3 0.000 0.235 0.751
P4 0.000 0.765 0.249

# 2
# Nd2DyHfSb4, optimized geometry, DFT GGA-PBE
# Uncorrected energy: -6.0439 eV/atom
# Space group: P2/m, No. 10
# Mass density: 7.83 Mg/m³
# Uncorrected formation energy: -971.3 meV per atom
data_Nd2DyHfSb4
_space_group_name_H-M_alt 'P 1'
_space_group_IT_number 1
_space_group_name_Hall 'P 1'
_cell_length_a 4.372
_cell_length_b 7.572
_cell_length_c 7.582
_cell_angle_alpha 109.31
_cell_angle_beta 90.00
_cell_angle_gamma 90.00
loop_
_atom_site_label
_atom_site_fract_x
_atom_site_fract_y
_atom_site_fract_z
Nd1 0.500 0.000 0.500
Nd2 0.000 0.500 0.500
Dy1 0.500 0.500 0.000
Hf1 0.000 0.000 0.000
Sb1 0.500 0.234 0.228
Sb2 0.500 0.766 0.772
Sb3 0.000 0.246 0.766
Sb4 0.000 0.754 0.234

# 3
# NdDyHfTh, optimized geometry, DFT GGA-PBE
# Uncorrected energy: -6.4692 eV/atom
# Space group: F-43m, No. 216
# Mass density: 10.11 Mg/m³
# ΔH_f (0 K): 0.217 eV/atom
data_NdDyHfTh
_space_group_name_H-M_alt 'P 1'
_space_group_IT_number 1
_space_group_name_Hall 'P 1'
_cell_length_a 5.502
_cell_length_b 5.502
_cell_length_c 5.502
_cell_angle_alpha 60.00
_cell_angle_beta 60.00
_cell_angle_gamma 60.00
loop_
_atom_site_label
_atom_site_fract_x
_atom_site_fract_y
_atom_site_fract_z
Nd1 0.500 0.500 0.500
Hf1 0.250 0.250 0.250
Th1 0.000 0.000 0.000
Dy1 0.750 0.750 0.750

# 4
# DyHfNi2, optimized geometry, DFT GGA-PBE
# Uncorrected energy: -6.9125 eV/atom
# Space group: R-3m, No. 166
# Mass density: 10.29 Mg/m³
# ΔH_f (0 K): -0.383 eV/atom
data_DyHfNi2
_space_group_name_H-M_alt 'P 1'
_space_group_IT_number 1
_space_group_name_Hall 'P 1'
_cell_length_a 4.391
_cell_length_b 4.391
_cell_length_c 5.104
_cell_angle_alpha 64.52
_cell_angle_beta 64.52
_cell_angle_gamma 60.00
loop_
_atom_site_label
_atom_site_fract_x
_atom_site_fract_y
_atom_site_fract_z
Ni1 0.713 0.713 0.861
Ni2 0.287 0.287 0.139
Hf1 0.000 0.000 0.000
Dy1 0.500 0.500 0.500

# 5
# DyHf2Ni9, optimized geometry, DFT GGA-PBE
# Uncorrected energy: -6.8355 eV/atom
# Space group: R-3m, No. 166
# Mass density: 10.67 Mg/m³
# ΔH_f (0 K): -0.457 eV/atom
data_DyHf2Ni9
_space_group_name_H-M_alt 'P 1'
_space_group_IT_number 1
_space_group_name_Hall 'P 1'
_cell_length_a 4.876
_cell_length_b 4.876
_cell_length_c 8.403
_cell_angle_alpha 73.13
_cell_angle_beta 73.13
_cell_angle_gamma 60.00
loop_
_atom_site_label
_atom_site_fract_x
_atom_site_fract_y
_atom_site_fract_z
Dy1 0.000 0.000 0.000
Hf1 0.860 0.860 0.420
Hf2 0.140 0.140 0.580
Ni1 0.666 0.666 0.001
Ni2 0.334 0.334 0.999
Ni3 0.500 0.500 0.500
Ni4 0.412 0.412 0.257
Ni5 0.919 0.412 0.257
Ni6 0.412 0.919 0.257
Ni7 0.588 0.588 0.743
Ni8 0.588 0.081 0.743
Ni9 0.081 0.588 0.743

# 6
# Dy2HfNi, optimized geometry, DFT GGA-PBE
# Uncorrected energy: -6.3246 eV/atom
# Space group: P4/mmm, No. 123
# Mass density: 10.27 Mg/m³
# ΔH_f (0 K): -0.090 eV/atom
data_Dy2HfNi
_space_group_name_H-M_alt 'P 1'
_space_group_IT_number 1
_space_group_name_Hall 'P 1'
_cell_length_a 3.393
_cell_length_b 3.393
_cell_length_c 7.894
_cell_angle_alpha 90.00
_cell_angle_beta 90.00
_cell_angle_gamma 90.00
loop_
_atom_site_label
_atom_site_fract_x
_atom_site_fract_y
_atom_site_fract_z
Ni1 0.500 0.500 0.000
Hf1 0.500 0.500 0.500
Dy1 0.000 0.000 0.790
Dy2 0.000 0.000 0.210

# 7
# DyHfNi2, optimized geometry, DFT GGA-PBE
# Uncorrected energy: -6.9530 eV/atom
# Space group: P4/mmm, No. 123
# Mass density: 10.73 Mg/m³
# ΔH_f (0 K): -0.423 eV/atom
data_DyHfNi2
_space_group_name_H-M_alt 'P 1'
_space_group_IT_number 1
_space_group_name_Hall 'P 1'
_cell_length_a 3.259
_cell_length_b 3.259
_cell_length_c 6.676
_cell_angle_alpha 90.00
_cell_angle_beta 90.00
_cell_angle_gamma 90.00
loop_
_atom_site_label
_atom_site_fract_x
_atom_site_fract_y
_atom_site_fract_z
Ni1 0.000 0.000 0.791
Ni2 0.000 0.000 0.209
Hf1 0.500 0.500 0.000
Dy1 0.500 0.500 0.500

# 8
# Dy2HfNi, optimized geometry, DFT GGA-PBE
# Uncorrected energy: -5.9341 eV/atom
# Space group: R-3m, No. 166
# Mass density: 9.51 Mg/m³
# ΔH_f (0 K): 0.301 eV/atom
data_Dy2HfNi
_space_group_name_H-M_alt 'P 1'
_space_group_IT_number 1
_space_group_name_Hall 'P 1'
_cell_length_a 3.334
_cell_length_b 3.334
_cell_length_c 10.374
_cell_angle_alpha 80.75
_cell_angle_beta 80.75
_cell_angle_gamma 60.00
loop_
_atom_site_label
_atom_site_fract_x
_atom_site_fract_y
_atom_site_fract_z
Ni1 0.500 0.500 0.500
Hf1 0.000 0.000 0.000
Dy1 0.105 0.105 0.686
Dy2 0.895 0.895 0.314

# 9
# DyHf2Ni, optimized geometry, DFT GGA-PBE
# Uncorrected energy: -7.6464 eV/atom
# Space group: P4/mmm, No. 123
# Mass density: 11.56 Mg/m³
# ΔH_f (0 K): -0.074 eV/atom
data_DyHf2Ni
_space_group_name_H-M_alt 'P 1'
_space_group_IT_number 1
_space_group_name_Hall 'P 1'
_cell_length_a 3.263
_cell_length_b 3.263
_cell_length_c 7.799
_cell_angle_alpha 90.00
_cell_angle_beta 90.00
_cell_angle_gamma 90.00
loop_
_atom_site_label
_atom_site_fract_x
_atom_site_fract_y
_atom_site_fract_z
Ni1 0.500 0.500 0.000
Hf1 0.000 0.000 0.804
Hf2 0.000 0.000 0.196
Dy1 0.500 0.500 0.500

# 10
# DyHfNiOs, optimized geometry, DFT GGA-PBE
# Uncorrected energy: -8.2866 eV/atom
# Space group: F-43m, No. 216
# Mass density: 13.55 Mg/m³
# ΔH_f (0 K): -0.395 eV/atom
data_DyHfNiOs
_space_group_name_H-M_alt 'P 1'
_space_group_IT_number 1
_space_group_name_Hall 'P 1'
_cell_length_a 4.676
_cell_length_b 4.676
_cell_length_c 4.676
_cell_angle_alpha 60.00
_cell_angle_beta 60.00
_cell_angle_gamma 60.00
loop_
_atom_site_label
_atom_site_fract_x
_atom_site_fract_y
_atom_site_fract_z
Ni1 0.250 0.250 0.250
Hf1 0.500 0.500 0.500
Os1 0.750 0.750 0.750
Dy1 0.000 0.000 0.000

# 11
# DyHfNi2P2, optimized geometry, DFT GGA-PBE
# Uncorrected energy: -7.2983 eV/atom
# Space group: P-3m1, No. 164
# Mass density: 9.17 Mg/m³
# ΔH_f (0 K): -1.142 eV/atom
data_DyHfNi2P2
_space_group_name_H-M_alt 'P 1'
_space_group_IT_number 1
_space_group_name_Hall 'P 1'
_cell_length_a 3.812
_cell_length_b 3.812
_cell_length_c 7.489
_cell_angle_alpha 90.00
_cell_angle_beta 90.00
_cell_angle_gamma 120.00
loop_
_atom_site_label
_atom_site_fract_x
_atom_site_fract_y
_atom_site_fract_z
Dy1 0.000 0.000 0.000
Hf1 0.000 0.000 0.500
Ni1 0.667 0.333 0.272
Ni2 0.333 0.667 0.728
P1 0.667 0.333 0.738
P2 0.333 0.667 0.262

# 12
# DyHfNiPt, optimized geometry, DFT GGA-PBE
# Uncorrected energy: -7.2871 eV/atom
# Space group: F-43m, No. 216
# Mass density: 13.13 Mg/m³
# ΔH_f (0 K): -0.693 eV/atom
data_DyHfNiPt
_space_group_name_H-M_alt 'P 1'
_space_group_IT_number 1
_space_group_name_Hall 'P 1'
_cell_length_a 4.738
_cell_length_b 4.738
_cell_length_c 4.738
_cell_angle_alpha 60.00
_cell_angle_beta 60.00
_cell_angle_gamma 60.00
loop_
_atom_site_label
_atom_site_fract_x
_atom_site_fract_y
_atom_site_fract_z
Ni1 0.500 0.500 0.500
Hf1 0.250 0.250 0.250
Pt1 0.000 0.000 0.000
Dy1 0.750 0.750 0.750

# 13
# DyHfNiRh, optimized geometry, DFT GGA-PBE
# Uncorrected energy: -7.4883 eV/atom
# Space group: F-43m, No. 216
# Mass density: 11.39 Mg/m³
# ΔH_f (0 K): -0.566 eV/atom
data_DyHfNiRh
_space_group_name_H-M_alt 'P 1'
_space_group_IT_number 1
_space_group_name_Hall 'P 1'
_cell_length_a 4.697
_cell_length_b 4.697
_cell_length_c 4.697
_cell_angle_alpha 60.00
_cell_angle_beta 60.00
_cell_angle_gamma 60.00
loop_
_atom_site_label
_atom_site_fract_x
_atom_site_fract_y
_atom_site_fract_z
Ni1 0.250 0.250 0.250
Rh1 0.750 0.750 0.750
Hf1 0.000 0.000 0.000
Dy1 0.500 0.500 0.500

# 14
# DyHfNiRu, optimized geometry, DFT GGA-PBE
# Uncorrected energy: -7.8447 eV/atom
# Space group: F-43m, No. 216
# Mass density: 11.54 Mg/m³
# ΔH_f (0 K): -0.441 eV/atom
data_DyHfNiRu
_space_group_name_H-M_alt 'P 1'
_space_group_IT_number 1
_space_group_name_Hall 'P 1'
_cell_length_a 4.670
_cell_length_b 4.670
_cell_length_c 4.670
_cell_angle_alpha 60.00
_cell_angle_beta 60.00
_cell_angle_gamma 60.00
loop_
_atom_site_label
_atom_site_fract_x
_atom_site_fract_y
_atom_site_fract_z
Ni1 0.250 0.250 0.250
Ru1 0.750 0.750 0.750
Hf1 0.000 0.000 0.000
Dy1 0.500 0.500 0.500

# 15
# DyHfTcNi, optimized geometry, DFT GGA-PBE
# Uncorrected energy: -7.9651 eV/atom
# Space group: F-43m, No. 216
# Mass density: 11.44 Mg/m³
# ΔH_f (0 K): -0.289 eV/atom
data_DyHfTcNi
_space_group_name_H-M_alt 'P 1'
_space_group_IT_number 1
_space_group_name_Hall 'P 1'
_cell_length_a 4.675
_cell_length_b 4.675
_cell_length_c 4.675
_cell_angle_alpha 60.00
_cell_angle_beta 60.00
_cell_angle_gamma 60.00
loop_
_atom_site_label
_atom_site_fract_x
_atom_site_fract_y
_atom_site_fract_z
Ni1 0.750 0.750 0.750
Hf1 0.500 0.500 0.500
Tc1 0.250 0.250 0.250
Dy1 0.000 0.000 0.000